# 1
The following is a meta-GGA SCAN calculation of a PBEsol-optimized structure of TaTcAu2, from Alexandria.

Cell lengths 3.469, 3.469, 5.435 Å; angles 90.00, 90.00, 90.00 degrees
Element x y z (fractional)
Tc: 0.500 0.500 0.500
Au: 0.000 0.000 0.748
Ta: 0.500 0.500 0.000
Au: 0.000 0.000 0.252

The value obtained for the formation energy is 0.17 eV/atom. The offset from the most stable computed form comes out at 0 meV/atom.

=====

# 2
The following is a meta-GGA SCAN calculation of a PBEsol-optimized structure of Ca2BeH2, from Alexandria.

Cell lengths 3.677, 3.677, 6.681 Å; angles 105.97, 105.97, 90.00 degrees
Last column: magnetic moment on the atom in μB.
Element x y z (fractional)
H: 0.250 0.750 0.500  0.00
Be: 0.000 0.000 0.000  0.07
H: 0.750 0.250 0.500  0.00
Ca: 0.647 0.647 0.293  0.04
Ca: 0.353 0.353 0.707  0.04

As for the total energy: -6.26 eV per atom.

=====

# 3
The following is a meta-GGA SCAN calculation of a PBEsol-optimized structure of CsTiAsO5, from Alexandria.

Cell lengths 6.851, 10.738, 13.477 Å; angles 90.00, 90.00, 90.00 degrees
Element x y z (fractional)
O: 0.684 0.261 0.898
Cs: 0.807 0.610 0.611
O: 0.816 0.261 0.398
As: 0.995 0.038 0.677
O: 0.567 0.415 0.284
Cs: 0.193 0.110 0.389
Cs: 0.785 0.866 0.385
As: 0.005 0.538 0.323
O: 0.207 0.502 0.392
O: 0.802 0.577 0.389
Cs: 0.693 0.610 0.111
As: 0.330 0.785 0.500
As: 0.495 0.538 0.823
As: 0.505 0.038 0.177
O: 0.958 0.414 0.246
Cs: 0.215 0.366 0.615
O: 0.488 0.665 0.485
O: 0.184 0.761 0.602
O: 0.962 0.419 0.986
As: 0.830 0.285 0.000
O: 0.559 0.163 0.716
Ti: 0.760 0.282 0.253
Ti: 0.240 0.782 0.747
O: 0.512 0.165 0.515
O: 0.307 0.809 0.895
O: 0.693 0.309 0.105
O: 0.038 0.919 0.014
O: 0.198 0.077 0.611
O: 0.012 0.665 0.985
O: 0.441 0.663 0.284
O: 0.953 0.161 0.757
O: 0.293 0.502 0.892
O: 0.941 0.163 0.216
O: 0.047 0.661 0.243
Cs: 0.715 0.866 0.885
O: 0.538 0.419 0.486
Ti: 0.498 0.032 0.629
O: 0.042 0.914 0.754
O: 0.698 0.577 0.889
O: 0.453 0.661 0.743
O: 0.433 0.915 0.716
O: 0.542 0.414 0.746
O: 0.793 0.002 0.608
O: 0.807 0.309 0.605
O: 0.316 0.761 0.102
O: 0.193 0.809 0.395
O: 0.707 0.002 0.108
O: 0.933 0.415 0.784
O: 0.059 0.663 0.784
Ti: 0.998 0.532 0.871
O: 0.458 0.914 0.254
O: 0.547 0.161 0.257
Ti: 0.002 0.032 0.129
O: 0.462 0.919 0.514
Ti: 0.740 0.282 0.753
Cs: 0.307 0.110 0.889
O: 0.988 0.165 0.015
Cs: 0.285 0.366 0.115
As: 0.170 0.785 0.000
As: 0.670 0.285 0.500
O: 0.302 0.077 0.111
Ti: 0.260 0.782 0.247
O: 0.067 0.915 0.216
Ti: 0.502 0.532 0.371

For the formation energy (no corrections), the calculation gives -2.336 eV/atom.

=====

# 4
The following is a meta-GGA SCAN calculation of a PBEsol-optimized structure of Y2PdBr, from Alexandria.

Cell lengths 5.015, 5.015, 5.015 Å; angles 60.00, 60.00, 60.00 degrees
Last column: magnetic moment on the atom in μB.
Element x y z (fractional)
Br: 0.000 0.000 0.000  0.06
Pd: 0.500 0.500 0.500  0.10
Y: 0.250 0.250 0.250  0.57
Y: 0.750 0.750 0.750  0.57

For the formation energy (no corrections), the calculation gives -0.756 eV/atom.

=====

# 5
The following is a meta-GGA SCAN calculation of a PBEsol-optimized structure of CsAl3Cl, from Alexandria.

Cell lengths 5.484, 5.484, 5.484 Å; angles 90.00, 90.00, 90.00 degrees
Element x y z (fractional)
Al: 0.500 0.000 0.000
Cs: 0.500 0.500 0.500
Al: 0.000 0.500 0.000
Al: 0.000 0.000 0.500
Cl: 0.000 0.000 0.000

For the formation energy (no corrections), the calculation gives 0.566 eV/atom.

=====

# 6
The following is a meta-GGA SCAN calculation of a PBEsol-optimized structure of MgAlMo, from Alexandria.

Cell lengths 2.748, 2.748, 6.940 Å; angles 98.83, 98.83, 102.99 degrees
Element x y z (fractional)
Mo: 0.661 0.661 0.321
Al: 0.010 0.010 0.019
Mg: 0.330 0.330 0.660

The value obtained for the formation energy is 0.07 eV/atom.

=====

# 7
The following is a meta-GGA SCAN calculation of a PBEsol-optimized structure of KS2I, from Alexandria.

Cell lengths 5.139, 5.139, 5.139 Å; angles 60.00, 60.00, 60.00 degrees
Last column: magnetic moment on the atom in μB.
Element x y z (fractional)
K: 0.000 0.000 0.000  0.01
S: 0.250 0.250 0.250  0.25
S: 0.750 0.750 0.750  0.25
I: 0.500 0.500 0.500  0.40

For the formation energy (no corrections), the calculation gives 0.277 eV/atom.

=====

# 8
The following is a meta-GGA SCAN calculation of a PBEsol-optimized structure of BeCd2Hg, from Alexandria.

Cell lengths 3.332, 4.402, 5.172 Å; angles 90.00, 99.23, 90.00 degrees
Element x y z (fractional)
Be: 0.500 0.500 0.500
Cd: 0.822 0.000 0.728
Cd: 0.178 0.000 0.272
Hg: 0.500 0.500 0.000

The value obtained for the formation energy is 0.26 eV/atom. The offset from the most stable computed form comes out at 44 meV/atom.

=====

# 9
The following is a meta-GGA SCAN calculation of a PBEsol-optimized structure of SrMnN2O, from Alexandria.

Cell lengths 4.416, 4.659, 4.659 Å; angles 90.00, 90.00, 90.00 degrees
Last column: magnetic moment on the atom in μB.
Element x y z (fractional)
Mn: 0.500 0.500 0.500  4.56
N: 0.000 0.000 0.500  1.27
Sr: 0.000 0.000 0.000  0.08
N: 0.000 0.500 0.000  1.27
O: 0.500 0.000 0.000  0.58

For the formation energy (no corrections), the calculation gives 1.210 eV/atom.

=====

# 10
The following is a meta-GGA SCAN calculation of a PBEsol-optimized structure of BaGaTe2I, from Alexandria.

Cell lengths 5.394, 5.394, 5.819 Å; angles 90.00, 90.00, 90.00 degrees
Element x y z (fractional)
Ba: 0.500 0.500 0.500
Te: 0.000 0.500 0.000
Te: 0.500 0.000 0.000
Ga: 0.000 0.000 0.000
I: 0.000 0.000 0.500

For the formation energy (no corrections), the calculation gives -0.855 eV/atom.

=====

# 11
The following is a meta-GGA SCAN calculation of a PBEsol-optimized structure of KInH8C4O12, from Alexandria.

Cell lengths 8.753, 8.998, 8.998 Å; angles 76.32, 60.90, 60.90 degrees
Element x y z (fractional)
K: 0.500 0.000 0.000
O: 0.410 0.608 0.622
O: 0.318 0.366 0.954
O: 0.728 0.954 0.634
O: 0.967 0.622 0.392
O: 0.008 0.299 0.311
O: 0.022 0.546 0.866
In: 0.750 0.500 0.500
O: 0.768 0.122 0.892
O: 0.783 0.878 0.108
H: 0.869 0.931 0.573
H: 0.373 0.069 0.427
In: 0.000 0.000 0.000
C: 0.980 0.223 0.230
H: 0.319 0.149 0.658
H: 0.125 0.851 0.342
H: 0.192 0.927 0.431
O: 0.110 0.108 0.122
C: 0.797 0.770 0.223
H: 0.533 0.342 0.149
O: 0.112 0.866 0.454
O: 0.742 0.201 0.189
O: 0.640 0.392 0.378
H: 0.377 0.431 0.073
O: 0.434 0.454 0.134
H: 0.217 0.158 0.351
C: 0.770 0.277 0.270
O: 0.340 0.892 0.878
H: 0.881 0.569 0.927
O: 0.069 0.189 0.799
H: 0.431 0.351 0.842
O: 0.681 0.311 0.701
H: 0.726 0.842 0.649
H: 0.200 0.427 0.931
C: 0.789 0.230 0.777
C: 0.316 0.723 0.730
H: 0.024 0.658 0.851
O: 0.132 0.799 0.811
O: 0.618 0.701 0.689
O: 0.638 0.634 0.046
C: 0.434 0.777 0.770
O: 0.057 0.811 0.201
O: 0.693 0.689 0.299
H: 0.625 0.649 0.158
C: 0.953 0.730 0.277
C: 0.961 0.270 0.723
H: 0.550 0.073 0.569
O: 0.982 0.378 0.608
H: 0.558 0.573 0.069
O: 0.316 0.046 0.366
K: 0.250 0.500 0.500
O: 0.432 0.134 0.546

As for the total energy: -8.37 eV per atom.

=====

# 12
The following is a meta-GGA SCAN calculation of a PBEsol-optimized structure of TiBr2O, from Alexandria.

Cell lengths 9.633, 7.056, 9.633 Å; angles 46.95, 90.00, 133.05 degrees
Element x y z (fractional)
Ti: 0.000 0.000 0.000
Br: 0.965 0.750 0.875
O: 0.500 0.000 0.500
O: 0.250 0.500 0.250
Br: 0.785 0.750 0.375
Br: 0.375 0.250 0.965
Br: 0.875 0.250 0.785
Ti: 0.750 0.500 0.750

For the formation energy (no corrections), the calculation gives -1.732 eV/atom.

=====

# 13
The following is a meta-GGA SCAN calculation of a PBEsol-optimized structure of HfPtN2F, from Alexandria.

Cell lengths 3.873, 4.186, 4.186 Å; angles 90.00, 90.00, 90.00 degrees
Element x y z (fractional)
Hf: 0.000 0.000 0.000
N: 0.000 0.000 0.500
F: 0.500 0.000 0.000
Pt: 0.500 0.500 0.500
N: 0.000 0.500 0.000

For the formation energy (no corrections), the calculation gives -0.214 eV/atom.

=====

# 14
The following is a meta-GGA SCAN calculation of a PBEsol-optimized structure of CrFeMo2, from Alexandria.

Cell lengths 2.637, 2.637, 8.909 Å; angles 81.49, 81.49, 60.00 degrees
Last column: magnetic moment on the atom in μB.
Element x y z (fractional)
Mo: 0.993 0.993 0.022  -0.16
Cr: 0.508 0.508 0.475  -1.27
Mo: 0.755 0.755 0.735  0.04
Fe: 0.244 0.244 0.268  2.08

The value obtained for the formation energy is 0.45 eV/atom. The offset from the most stable computed form comes out at 334 meV/atom.

=====

# 15
The following is a meta-GGA SCAN calculation of a PBEsol-optimized structure of CrSbPI2, from Alexandria.

Cell lengths 5.187, 5.187, 5.273 Å; angles 90.00, 90.00, 90.00 degrees
Last column: magnetic moment on the atom in μB.
Element x y z (fractional)
I: 0.000 0.500 0.000  0.03
I: 0.500 0.000 0.000  0.03
Cr: 0.000 0.000 0.000  3.31
P: 0.500 0.500 0.500  0.85
Sb: 0.000 0.000 0.500  -0.29

For the formation energy (no corrections), the calculation gives 0.692 eV/atom.

=====

# 16
The following is a meta-GGA SCAN calculation of a PBEsol-optimized structure of CdAg2Hg, from Alexandria.

Cell lengths 2.966, 5.119, 5.119 Å; angles 109.30, 91.22, 91.22 degrees
Element x y z (fractional)
Cd: 0.500 0.500 0.500
Ag: 0.000 0.000 0.500
Hg: 0.500 0.000 0.000
Ag: 0.000 0.500 0.000

The value obtained for the formation energy is 0.01 eV/atom. The offset from the most stable computed form comes out at 21 meV/atom.

=====

# 17
The following is a meta-GGA SCAN calculation of a PBEsol-optimized structure of AlOs2Pt, from Alexandria.

Cell lengths 2.767, 4.667, 4.681 Å; angles 99.17, 90.00, 107.25 degrees
Element x y z (fractional)
Pt: 0.499 0.998 0.476
Os: 0.254 0.508 0.781
Os: 0.997 0.994 0.972
Al: 0.750 0.500 0.270

The value obtained for the formation energy is -0.25 eV/atom.

=====

# 18
The following is a meta-GGA SCAN calculation of a PBEsol-optimized structure of Zn3Fe, from Alexandria.

Cell lengths 2.627, 4.216, 4.594 Å; angles 90.00, 90.00, 90.00 degrees
Last column: magnetic moment on the atom in μB.
Element x y z (fractional)
Fe: 0.000 0.000 0.002  2.58
Zn: 0.500 0.500 0.842  -0.06
Zn: 0.500 0.000 0.502  -0.06
Zn: 0.000 0.500 0.320  0.00

The value obtained for the formation energy is 0.02 eV/atom.

=====

# 19
The following is a meta-GGA SCAN calculation of a PBEsol-optimized structure of Zr2TlSi, from Alexandria.

Cell lengths 3.186, 3.186, 9.850 Å; angles 80.69, 80.69, 60.00 degrees
Element x y z (fractional)
Si: 0.497 0.497 0.510
Tl: 0.246 0.246 0.263
Zr: 0.002 0.002 0.993
Zr: 0.756 0.756 0.733

For the formation energy (no corrections), the calculation gives 0.168 eV/atom.

=====

# 20
The following is a meta-GGA SCAN calculation of a PBEsol-optimized structure of TaSiP2, from Alexandria.

Cell lengths 3.850, 3.850, 4.749 Å; angles 113.91, 113.91, 90.00 degrees
Element x y z (fractional)
Si: 0.500 0.500 0.000
P: 0.250 0.750 0.500
P: 0.750 0.250 0.500
Ta: 0.000 0.000 0.000

For the formation energy (no corrections), the calculation gives 0.367 eV/atom.